Entry 1:
4
Lattice="4.519 0.000 0.000 2.260 3.914 0.000 2.260 1.305 7.941" Properties=species:S:1:pos:R:3 comment="Nd2PbI | Alexandria | PBE-GGA | relaxed" raw_formation_energy_ev_per_atom=-0.726 final_energy_ev_per_atom=-4.42 pbc="T T T"
Nd 2.260 1.305 6.216
Nd 2.260 1.305 1.724
Pb 6.779 3.914 7.904
I 4.519 2.609 4.010

Entry 2:
4
Lattice="0.000 3.082 3.082 3.082 0.000 3.082 3.082 3.082 0.000" Properties=species:S:1:pos:R:3 comment="MgCo2Te | Alexandria | PBE-GGA | relaxed" raw_formation_energy_ev_per_atom=0.089 final_energy_ev_per_atom=-4.65 pbc="T T T"
Mg 0.000 0.000 0.000
Te 3.082 3.082 3.082
Co 1.541 1.541 1.541
Co 4.623 4.623 4.623

Entry 3:
10
Lattice="5.892 0.000 0.000 0.000 5.892 0.000 2.946 2.946 4.166" Properties=species:S:1:pos:R:3 comment="Tm2BeSiNi6 | Alexandria | PBE-GGA | relaxed" raw_formation_energy_ev_per_atom=-0.288 final_energy_ev_per_atom=-5.57 pbc="T T T"
Tm 2.946 5.892 2.083
Tm 5.892 2.946 2.083
Be 2.946 2.946 0.000
Si 0.000 0.000 0.000
Ni 1.534 4.358 0.000
Ni 4.358 4.357 0.000
Ni 2.946 2.946 1.997
Ni 4.358 1.534 0.000
Ni 1.534 1.534 0.000
Ni 5.892 5.892 2.170

Entry 4:
5
Lattice="5.366 0.000 0.000 0.000 5.366 0.000 0.000 0.000 4.066" Properties=species:S:1:pos:R:3 comment="LiLa2HgF | Alexandria | PBE-GGA | relaxed" raw_formation_energy_ev_per_atom=-1.233 final_energy_ev_per_atom=-4.02 pbc="T T T"
F 0.000 0.000 0.000
Li 0.000 0.000 2.033
Hg 2.683 2.683 2.033
La 0.000 2.683 0.000
La 2.683 0.000 0.000

Entry 5:
5
Lattice="-2.525 -3.185 -0.093 0.304 -0.359 4.038 -2.936 2.314 0.427" Properties=species:S:1:pos:R:3 comment="ZnCoTc2C | Alexandria | PBE-GGA | relaxed" final_energy_ev_per_atom=-7.52 e_form_kj_per_mol_atoms=14.1 pbc="T T T"
C 0.000 0.000 0.000
Zn -2.578 -0.615 2.186
Co -1.468 1.157 0.214
Tc 0.152 -0.179 2.019
Tc -1.262 -1.592 -0.046

Entry 6:
15
Lattice="-3.880 -2.440 4.314 1.944 -3.526 -4.838 4.349 1.490 4.755" Properties=species:S:1:pos:R:3 comment="Na3Sc3IrO8 | Alexandria | PBE-GGA | relaxed" raw_formation_energy_ev_per_atom=-2.402 final_energy_ev_per_atom=-7.17 pbc="T T T"
Na 0.000 0.000 0.000
Na 0.972 -1.763 -2.419
Na -0.968 -2.983 -0.262
Sc 0.234 -0.475 4.534
Sc 1.206 -2.238 2.115
Sc 3.146 -1.018 -0.042
Ir 2.174 0.745 2.377
O 1.309 -2.085 -0.002
O 1.103 -2.390 4.232
O -0.625 -3.358 2.130
O 3.038 -1.117 2.101
O -1.629 -1.538 4.627
O 4.041 -2.937 -0.397
O 0.374 -0.279 2.400
O 2.038 -4.197 1.830

Entry 7:
11
Lattice="-3.059 -1.974 -2.143 0.433 -3.404 6.680 -6.102 5.811 3.357" Properties=species:S:1:pos:R:3 comment="Hf4Pa3Sb4 | Alexandria | PBE-GGA | relaxed" raw_formation_energy_ev_per_atom=-0.298 final_energy_ev_per_atom=-8.01 pbc="T T T"
Hf -4.768 1.166 1.568
Hf -1.744 -1.848 0.028
Hf -4.760 3.584 3.493
Hf -1.724 0.693 1.823
Pa -2.402 -2.116 5.377
Pa -5.476 0.812 7.068
Pa -0.593 -2.377 3.036
Sb -6.519 1.228 4.010
Sb -3.665 -1.490 2.439
Sb -5.553 -1.977 5.582
Sb -2.514 -4.931 3.966

Entry 8:
8
Lattice="3.633 0.000 0.000 0.000 6.307 -0.056 0.000 2.190 11.651" Properties=species:S:1:pos:R:3 comment="La2Tb4NdTh | Alexandria | PBE-GGA | relaxed" final_energy_ev_per_atom=-5.05 e_form_kj_per_mol_atoms=1.9 pbc="T T T"
La 0.000 2.190 11.651
La 1.817 1.095 5.826
Tb 0.000 6.340 8.678
Tb 3.633 2.157 2.917
Tb 1.817 5.247 2.946
Tb 1.817 3.249 8.649
Nd 1.817 3.153 -0.028
Th 0.000 4.248 5.798

Entry 9:
11
Lattice="5.285 0.000 0.000 0.000 5.285 0.000 -2.643 -2.643 12.355" Properties=species:S:1:pos:R:3 comment="Pr2Pa2Se2S5 | Alexandria | PBE-GGA | relaxed" raw_formation_energy_ev_per_atom=-1.627 final_energy_ev_per_atom=-6.73 pbc="T T T"
Pr 0.000 0.000 8.231
Pr 2.643 2.643 4.124
Pa 0.000 0.000 2.601
Pa 2.643 2.643 9.754
Se 0.000 0.000 5.348
Se 2.643 2.643 7.006
S 0.000 0.000 0.000
S 2.643 0.000 2.826
S 2.643 0.000 9.529
S 0.000 2.643 2.826
S 0.000 2.643 9.529

Entry 10:
20
Lattice="5.987 0.000 0.000 2.994 5.185 0.000 2.994 1.728 10.460" Properties=species:S:1:pos:R:3 comment="Ba2ErSeO6 | Alexandria | PBE-GGA | relaxed" raw_formation_energy_ev_per_atom=-2.239 final_energy_ev_per_atom=-6.40 pbc="T T T"
Ba 8.981 5.185 4.159
Ba 2.994 1.728 6.301
Ba 8.981 5.185 9.348
Ba 2.994 1.728 1.111
Er 5.987 3.457 2.357
Er 5.987 3.457 8.103
Se 0.000 0.000 0.000
Se 5.987 3.457 5.230
O 7.294 2.702 4.149
O 5.987 4.966 4.149
O 4.680 2.702 4.149
O 4.680 4.211 6.310
O 5.987 1.947 6.310
O 7.294 4.211 6.310
O 7.528 2.567 9.255
O 5.987 5.236 9.255
O 4.446 2.567 9.255
O 4.446 4.346 1.205
O 5.987 1.677 1.205
O 7.528 4.346 1.205

Entry 11:
5
Lattice="4.644 0.000 0.000 0.000 4.644 0.000 0.000 0.000 4.644" Properties=species:S:1:pos:R:3 comment="Sc3FeRu | Alexandria | PBE-GGA | relaxed" final_energy_ev_per_atom=-7.03 e_form_kj_per_mol_atoms=30.8 pbc="T T T"
Sc 0.000 2.322 0.000
Sc 0.000 0.000 2.322
Sc 2.322 0.000 0.000
Ru 2.322 2.322 2.322
Fe 0.000 0.000 0.000

Entry 12:
4
Lattice="-1.020 -5.082 1.044 -4.379 -1.327 2.650 -3.954 -2.469 -2.495" Properties=species:S:1:pos:R:3 comment="InBi2S | Alexandria | PBE-GGA | relaxed" raw_formation_energy_ev_per_atom=0.155 final_energy_ev_per_atom=-3.50 pbc="T T T"
S 0.000 0.000 0.000
Bi -2.338 -2.220 0.300
Bi -7.015 -6.659 0.899
In -4.677 -4.439 0.600